Computed, not measured: a relaxed structure of Pm2VGe6 at the PBE level of DFT.

Calculated values
- space-group type = No. 12

Cell: 4.708 6.524 7.575 Å, 115.51 84.06 90.00°
Sites, in units of the cell vectors:
Ge 0.882 0.031 0.676
Ge 0.500 0.806 0.000
Pm 0.388 0.343 0.686
Ge 0.500 0.194 0.000
Ge 0.882 0.645 0.676
Ge 0.118 0.969 0.324
Ge 0.118 0.355 0.324
V 0.000 0.000 0.000
Pm 0.612 0.657 0.314

Computed, not measured: a relaxed structure of PmVGe2 at the PBE level of DFT.

Calculated values
- excess energy over the best structure of this formula in the dataset (eV/f.u.) = 0.55
- space-group type = No. 123

Cell: 3.401 3.401 6.569 Å, 90.00 90.00 90.00°
Sites, in units of the cell vectors:
Ge 0.000 0.000 0.195
Pm 0.500 0.500 0.500
V 0.500 0.500 0.000
Ge 0.000 0.000 0.805

Computed, not measured: a relaxed structure of Pm3VGe5 at the PBE level of DFT.

Calculated values
- space-group type = No. 193

Cell: 5.732 8.824 8.824 Å, 120.00 90.00 90.00°
Sites, in units of the cell vectors:
Pm 0.750 0.384 0.000
Ge 0.500 0.667 0.333
Ge 0.750 0.000 0.757
Ge 0.250 0.757 0.757
Ge 0.000 0.667 0.333
V 0.000 0.000 0.000
Pm 0.750 0.000 0.384
Ge 0.500 0.333 0.667
Ge 0.250 0.243 0.000
Ge 0.000 0.333 0.667
Pm 0.250 0.384 0.384
Ge 0.750 0.757 0.000
Pm 0.250 0.000 0.616
Ge 0.250 0.000 0.243
Pm 0.250 0.616 0.000
Pm 0.750 0.616 0.616
V 0.500 0.000 0.000
Ge 0.750 0.243 0.243

Computed, not measured: a relaxed structure of PmVGe2 at the PBE level of DFT.

Calculated values
- excess energy over the best structure of this formula in the dataset (eV/f.u.) = 0.96
- space-group type = No. 225

Cell: 4.837 4.837 4.837 Å, 60.00 60.00 60.00°
Sites, in units of the cell vectors:
Pm 0.500 0.500 0.500
Ge 0.250 0.250 0.250
V 0.000 0.000 0.000
Ge 0.750 0.750 0.750

Computed, not measured: a relaxed structure of PmVGe2 at the PBE level of DFT.

Calculated values
- excess energy over the best structure of this formula in the dataset (eV/f.u.) = 0.00
- space-group type = No. 12

Cell: 4.471 7.032 5.924 Å, 93.77 116.85 99.74°
Sites, in units of the cell vectors:
V 0.000 0.000 0.500
Ge 0.933 0.635 0.338
Pm 0.750 0.250 0.000
V 0.500 0.500 0.500
Ge 0.067 0.365 0.662
Pm 0.250 0.750 0.000
Ge 0.433 0.135 0.338
Ge 0.567 0.865 0.662

Computed, not measured: a relaxed structure of Pm5VGe6 at the PBE level of DFT.

Calculated values
- space-group type = No. 12

Cell: 7.465 6.173 7.647 Å, 66.19 78.95 61.65°
Sites, in units of the cell vectors:
Ge 0.197 0.981 0.694
Ge 0.297 0.149 0.000
Pm 0.500 0.201 0.598
Pm 0.500 0.500 0.000
Ge 0.703 0.851 0.000
Pm 0.000 0.643 0.714
Pm 0.500 0.799 0.402
Pm 0.000 0.357 0.286
Ge 0.803 0.325 0.694
V 0.000 0.000 0.000
Ge 0.197 0.675 0.306
Ge 0.803 0.019 0.306

Computed, not measured: a relaxed structure of PmGe3W at the PBE level of DFT.

Calculated values
- space-group type = No. 194

Cell: 5.702 6.312 6.312 Å, 120.00 90.00 90.00°
Sites, in units of the cell vectors:
Ge 0.750 0.398 0.199
Ge 0.750 0.801 0.602
Ge 0.250 0.199 0.398
Pm 0.250 0.667 0.333
W 0.500 0.000 0.000
W 0.000 0.000 0.000
Pm 0.750 0.333 0.667
Ge 0.250 0.199 0.801
Ge 0.750 0.801 0.199
Ge 0.250 0.602 0.801

Computed, not measured: a relaxed structure of Pm2Y5Ge4 at the PBE level of DFT.

Calculated values
- space-group type = No. 12

Cell: 3.519 6.961 13.025 Å, 87.20 97.76 90.00°
Sites, in units of the cell vectors:
Ge 0.976 0.343 0.952
Y 0.870 0.203 0.740
Ge 0.675 0.499 0.350
Pm 0.095 0.297 0.189
Y 0.130 0.797 0.260
Ge 0.325 0.501 0.650
Y 0.238 0.245 0.476
Y 0.500 0.000 0.000
Pm 0.905 0.703 0.811
Y 0.762 0.755 0.524
Ge 0.024 0.657 0.048

The V results, record by record, are as follows: 209, 76, 193, 80, 81, 284, 98, 316 Å³/f.u..
The E_tot results, record by record, are as follows: -48.4, -24.3, -103.6, -23.9, -49.6, -67.8, -65.9, -64.4 eV for the cell shown.
The formation enthalpy at 0 K results, record by record, are as follows: -225.9, -288.4, -595.3, -187.1, -426.2, -603.3, -274.6, -373.7 meV per atom.